(1)
## TbHo3Ni8 (GGA-PBE)

Data for crystalline TbHo3Ni8 at its relaxed geometry.

Properties
Theoretical density   10.2 g cm⁻³
Total DFT energy (no corrections)   -5.841 eV per atom

```
data_TbHo3Ni8
_cell_length_a 5.054
_cell_length_b 5.054
_cell_length_c 8.774
_cell_angle_alpha 73.26
_cell_angle_beta 73.26
_cell_angle_gamma 60.00
_space_group_name_H-M_alt 'P 1'
_space_group_IT_number 1
_space_group_name_Hall 'P 1'
loop_
_atom_site_label
_atom_site_fract_x
_atom_site_fract_y
_atom_site_fract_z
Tb1 0.875 0.875 0.375
Ho1 0.375 0.375 0.875
Ho2 0.000 0.000 0.000
Ho3 0.500 0.500 0.501
Ni1 0.938 0.438 0.187
Ni2 0.437 0.938 0.688
Ni3 0.438 0.438 0.187
Ni4 0.938 0.938 0.688
Ni5 0.187 0.187 0.438
Ni6 0.688 0.688 0.937
Ni7 0.438 0.938 0.187
Ni8 0.938 0.437 0.688
```



(2)
## TbHoNi4 (GGA-PBE)

Data for crystalline TbHoNi4 at its relaxed geometry.

Properties
Theoretical density   10.1 g cm⁻³
Total DFT energy (no corrections)   -5.838 eV per atom

```
data_TbHoNi4
_cell_length_a 5.064
_cell_length_b 5.064
_cell_length_c 5.064
_cell_angle_alpha 60.00
_cell_angle_beta 60.00
_cell_angle_gamma 60.00
_space_group_name_H-M_alt 'P 1'
_space_group_IT_number 1
_space_group_name_Hall 'P 1'
loop_
_atom_site_label
_atom_site_fract_x
_atom_site_fract_y
_atom_site_fract_z
Ni1 0.625 0.625 0.126
Ni2 0.625 0.126 0.625
Ni3 0.625 0.625 0.625
Ni4 0.126 0.625 0.625
Tb1 0.000 0.000 0.000
Ho1 0.250 0.250 0.250
```